Compound: Y2CrRe
Source: the Alexandria database
Functional: PBE
Structure: optimized geometry

Cell: 3.1946 3.9256 7.2798 Å, 90.00 98.73 90.00°
With the nearest neighbours (Å) after each atom.
Fractional positions:
1 Y 0.0000 0.0000 0.0000  1 Re 2.87, 2 Cr 2.94, 2 Y 3.19
2 Y 0.3370 0.5000 0.6164  1 Cr 2.86, 4 Re 2.99-3.18, 2 Y 3.19
3 Cr 0.5009 0.5000 0.2412  2 Re 2.34
4 Re 0.8111 0.0000 0.3727  2 Cr 2.34

Results
* E_form: 0.33 eV/atom
* volume: 90.2 Å³/cell